Entry from the Alexandria database: a relaxed structure of LaTe2NF (PBE).

Cell and atoms, written as extended XYZ:
```
5
Lattice="-3.602 1.514 -2.497 2.123 -1.365 -3.890 -2.251 -4.676 0.412" Properties=species:S:1:pos:R:3 pbc="T T T"
N -1.126 -2.338 0.206
F 0.000 0.000 0.000
Te 1.061 -0.682 -1.945
Te -1.801 0.757 -1.249
La -1.865 -2.263 -2.988
```

Values from the calculation:
Formation energy (no corrections) (meV per atom): -111.1
Total DFT energy (no corrections) (eV/atom): -4.39
Energy relative to the lowest polymorph listed for this composition (meV/atom): 0
Space-group type: No. 123

Entry from the Alexandria database: a relaxed structure of AsPAuO2 (PBE).

Cell and atoms, written as extended XYZ:
```
5
Lattice="3.662 0.000 0.000 0.000 3.662 0.000 0.000 0.000 5.309" Properties=species:S:1:pos:R:3 pbc="T T T"
P 0.000 0.000 2.655
As 0.000 0.000 0.000
Au 1.831 1.831 2.655
O 0.000 1.831 0.000
O 1.831 0.000 0.000
```

Values from the calculation:
Formation energy (no corrections) (meV per atom): -134.7
Total DFT energy (no corrections) (eV/atom): -4.79
Energy relative to the lowest polymorph listed for this composition (meV/atom): 0
Space-group type: No. 123

Entry from the Alexandria database: a relaxed structure of ErNbBi (PBE).

Cell and atoms, written as extended XYZ:
```
6
Lattice="3.679 0.000 0.000 0.000 3.679 0.000 0.000 0.000 10.911" Properties=species:S:1:pos:R:3 pbc="T T T"
Er 0.000 1.839 6.588
Er 1.839 0.000 4.323
Bi 1.839 0.000 8.612
Bi 0.000 1.839 2.299
Nb 0.000 1.839 10.191
Nb 1.839 0.000 0.720
```

Values from the calculation:
Total DFT energy (no corrections) (eV/atom): -6.28
Energy of formation (eV/atom): -0.1106
Space-group type: No. 129